## Tb4NdHg (PBE-GGA)

Data for an optimized crystal structure of Tb4NdHg.

The structure belongs to space group P4/mmm (No. 123); the cell edges are 3.615, 3.615 and 14.070 Å and the angles 90.00°, 90.00° and 90.00°. The inequivalent atoms are Tb at (0.000, 0.000, 0.142), Tb at (0.500, 0.500, 0.319), Nd at (0.000, 0.000, 0.500) and Hg at (0.500, 0.500, 0.000).

The total moment is 0.0 μB/f.u. The value obtained for the final energy is -4.076 eV/atom. The value obtained for the volume is 30.64 A^3/atom. The value obtained for the excess energy over the best structure of this formula in the dataset is 0 meV/atom. For the formation energy, the calculation gives -0.144 eV/atom. As for the crystal system: tetragonal.